# Cr2TeO (GGA+U, relaxed)
data_Cr2TeO
_symmetry_space_group_name_H-M 'I -4 2 d'
_symmetry_Int_Tables_number 122
_symmetry_space_group_name_Hall 'I -4 2bw'
_cell_length_a 5.352
_cell_length_b 5.352
_cell_length_c 11.467
_cell_angle_alpha 90.00
_cell_angle_beta 90.00
_cell_angle_gamma 90.00
loop_
_atom_site_label
_atom_site_type_symbol
_atom_site_fract_x
_atom_site_fract_y
_atom_site_fract_z
Cr1 Cr 0.096 0.250 0.125
Te1 Te 0.000 0.000 0.500
O1 O 0.000 0.000 0.000
# M_tot   8.00 μB/f.u.
# E above lowest polymorph   0.0 meV per atom
# D(E_F)   2.54 states/eV/cell
# E_tot   -26.10 eV per formula unit